! PmPuHg | the Alexandria database | PBE | relaxed; values from VASP
! energy of formation from the pure elements	-104	meV per atom
&SYSTEM
  ibrav = 0, nat = 3, ntyp = 3
/
ATOMIC_SPECIES
Pm 145.00 Pm.upf
Pu 244.00 Pu.upf
Hg 200.59 Hg.upf
CELL_PARAMETERS angstrom
-1.798 1.798 6.652
1.798 -1.798 6.652
1.798 1.798 -6.652
ATOMIC_POSITIONS crystal
Pm 0.000 0.000 0.000
Pu 0.690 0.690 0.000
Hg 0.345 0.345 0.000

=====

! Re8Pb8O27 | the Alexandria database | PBE | relaxed; values from VASP
! raw formation energy	-1.34	eV per atom
&SYSTEM
  ibrav = 0, nat = 43, ntyp = 3
/
ATOMIC_SPECIES
Re 186.21 Re.upf
Pb 207.20 Pb.upf
O 16.00 O.upf
CELL_PARAMETERS angstrom
7.487 0.000 0.000
0.000 7.487 0.000
0.000 0.000 10.672
ATOMIC_POSITIONS crystal
Re 0.000 0.246 0.130
Re 0.000 0.754 0.130
Re 0.246 0.000 0.870
Re 0.253 0.500 0.372
Re 0.500 0.253 0.628
Re 0.500 0.747 0.628
Re 0.747 0.500 0.372
Re 0.754 0.000 0.870
Pb 0.000 0.261 0.616
Pb 0.000 0.739 0.616
Pb 0.241 0.500 0.896
Pb 0.261 0.000 0.384
Pb 0.500 0.241 0.104
Pb 0.500 0.759 0.104
Pb 0.739 0.000 0.384
Pb 0.759 0.500 0.896
O 0.000 0.000 0.176
O 0.000 0.000 0.500
O 0.000 0.000 0.824
O 0.000 0.500 0.050
O 0.000 0.500 0.452
O 0.000 0.500 0.782
O 0.179 0.321 0.250
O 0.179 0.679 0.250
O 0.194 0.194 0.000
O 0.194 0.806 0.000
O 0.305 0.305 0.500
O 0.305 0.695 0.500
O 0.321 0.179 0.750
O 0.321 0.821 0.750
O 0.500 0.000 0.218
O 0.500 0.000 0.548
O 0.500 0.000 0.950
O 0.500 0.500 0.326
O 0.500 0.500 0.674
O 0.679 0.179 0.750
O 0.679 0.821 0.750
O 0.695 0.305 0.500
O 0.695 0.695 0.500
O 0.806 0.194 0.000
O 0.806 0.806 0.000
O 0.821 0.321 0.250
O 0.821 0.679 0.250

=====

! IrSeI3 | the Alexandria database | PBE | relaxed; values from VASP
! raw formation energy	0.63	eV per atom
&SYSTEM
  ibrav = 0, nat = 5, ntyp = 3
/
ATOMIC_SPECIES
Ir 192.22 Ir.upf
Se 78.96 Se.upf
I 126.90 I.upf
CELL_PARAMETERS angstrom
5.369 0.000 0.000
0.000 5.369 0.000
0.000 0.000 5.369
ATOMIC_POSITIONS crystal
Ir 0.000 0.000 0.000
Se 0.500 0.500 0.500
I 0.000 0.000 0.500
I 0.000 0.500 0.000
I 0.500 0.000 0.000

=====

! LaTmMgAl | the Alexandria database | PBE | relaxed; values from VASP
! energy of formation from the pure elements	-251	meV per atom
&SYSTEM
  ibrav = 0, nat = 4, ntyp = 4
/
ATOMIC_SPECIES
La 138.91 La.upf
Tm 168.93 Tm.upf
Mg 24.30 Mg.upf
Al 26.98 Al.upf
CELL_PARAMETERS angstrom
0.000 3.752 3.752
3.752 0.000 3.752
3.752 3.752 0.000
ATOMIC_POSITIONS crystal
La 0.000 0.000 0.000
Tm 0.500 0.500 0.500
Mg 0.250 0.250 0.250
Al 0.750 0.750 0.750

=====

! KAl6S8 | the Alexandria database | PBE | relaxed; values from VASP
! raw formation energy	-0.82	eV per atom
&SYSTEM
  ibrav = 0, nat = 15, ntyp = 3
/
ATOMIC_SPECIES
K 39.10 K.upf
Al 26.98 Al.upf
S 32.06 S.upf
CELL_PARAMETERS angstrom
4.818 2.782 3.852
-4.818 2.782 3.852
0.000 -5.563 3.852
ATOMIC_POSITIONS crystal
K 0.000 0.000 0.000
Al 0.210 0.567 0.395
Al 0.395 0.210 0.567
Al 0.433 0.605 0.790
Al 0.567 0.395 0.210
Al 0.605 0.790 0.433
Al 0.790 0.433 0.605
S 0.131 0.403 0.714
S 0.256 0.256 0.256
S 0.286 0.869 0.597
S 0.403 0.714 0.131
S 0.597 0.286 0.869
S 0.714 0.131 0.403
S 0.744 0.744 0.744
S 0.869 0.597 0.286

=====

! HfRe2MoS | the Alexandria database | PBE | relaxed; values from VASP
! raw formation energy	2.26	eV per atom
&SYSTEM
  ibrav = 0, nat = 5, ntyp = 4
/
ATOMIC_SPECIES
Hf 178.49 Hf.upf
Re 186.21 Re.upf
Mo 95.94 Mo.upf
S 32.06 S.upf
CELL_PARAMETERS angstrom
4.783 0.000 0.000
0.000 4.783 0.000
0.000 0.000 4.605
ATOMIC_POSITIONS crystal
Hf 0.000 0.000 0.000
Re 0.000 0.500 0.000
Re 0.500 0.000 0.000
Mo 0.500 0.500 0.500
S 0.000 0.000 0.500

=====

! BaReAg2 | the Alexandria database | PBE | relaxed; values from VASP
! energy of formation from the pure elements	929	meV per atom
&SYSTEM
  ibrav = 0, nat = 4, ntyp = 3
/
ATOMIC_SPECIES
Ba 137.33 Ba.upf
Re 186.21 Re.upf
Ag 107.87 Ag.upf
CELL_PARAMETERS angstrom
-1.493 2.748 5.405
1.493 -2.748 5.405
1.493 2.748 -5.405
ATOMIC_POSITIONS crystal
Ba 0.000 0.000 0.000
Re 0.269 0.769 0.500
Ag 0.491 0.491 0.000
Ag 0.721 0.221 0.500

=====

! LiDy2Nb2O8 | the Alexandria database | PBE | relaxed; values from VASP
! raw formation energy	-2.80	eV per atom
&SYSTEM
  ibrav = 0, nat = 13, ntyp = 4
/
ATOMIC_SPECIES
Li 6.94 Li.upf
Dy 162.50 Dy.upf
Nb 92.91 Nb.upf
O 16.00 O.upf
CELL_PARAMETERS angstrom
3.381 -5.248 0.000
3.381 5.248 0.000
-3.323 0.000 5.152
ATOMIC_POSITIONS crystal
Li 0.000 0.000 0.000
Dy 0.722 0.278 0.000
Dy 0.997 0.003 0.500
Nb 0.260 0.740 0.000
Nb 0.485 0.515 0.500
O 0.015 0.754 0.137
O 0.063 0.361 0.818
O 0.111 0.325 0.289
O 0.246 0.985 0.863
O 0.472 0.299 0.662
O 0.639 0.937 0.182
O 0.675 0.889 0.711
O 0.701 0.528 0.338

=====

! TbPuSe2O | the Alexandria database | PBE | relaxed; values from VASP
! raw formation energy	-2.20	eV per atom
&SYSTEM
  ibrav = 0, nat = 10, ntyp = 4
/
ATOMIC_SPECIES
Tb 158.93 Tb.upf
Pu 244.00 Pu.upf
Se 78.96 Se.upf
O 16.00 O.upf
CELL_PARAMETERS angstrom
3.988 0.000 0.000
0.000 3.988 0.000
0.000 0.000 14.425
ATOMIC_POSITIONS crystal
Tb 0.250 0.250 0.123
Tb 0.750 0.750 0.877
Pu 0.250 0.250 0.582
Pu 0.750 0.750 0.418
Se 0.250 0.250 0.312
Se 0.250 0.250 0.909
Se 0.750 0.750 0.091
Se 0.750 0.750 0.688
O 0.250 0.750 0.500
O 0.750 0.250 0.500

=====

! HgTeO3 | the Alexandria database | PBE | relaxed; values from VASP
! raw formation energy	-0.44	eV per atom
&SYSTEM
  ibrav = 0, nat = 5, ntyp = 3
/
ATOMIC_SPECIES
Hg 200.59 Hg.upf
Te 127.60 Te.upf
O 16.00 O.upf
CELL_PARAMETERS angstrom
4.117 0.000 0.000
0.000 4.117 0.000
0.000 0.000 4.117
ATOMIC_POSITIONS crystal
Hg 0.000 0.000 0.000
Te 0.500 0.500 0.500
O 0.000 0.500 0.500
O 0.500 0.000 0.500
O 0.500 0.500 0.000

=====

! FeCo2HIr | the Alexandria database | PBE | relaxed; values from VASP
! DFT total energy	-34.76	eV/cell
&SYSTEM
  ibrav = 0, nat = 5, ntyp = 4
/
ATOMIC_SPECIES
Fe 55.84 Fe.upf
Co 58.93 Co.upf
H 1.01 H.upf
Ir 192.22 Ir.upf
CELL_PARAMETERS angstrom
3.650 0.000 0.000
0.000 3.650 0.000
0.000 0.000 3.707
ATOMIC_POSITIONS crystal
Fe 0.000 0.000 0.000
Co 0.000 0.500 0.500
Co 0.500 0.000 0.500
H 0.000 0.000 0.500
Ir 0.500 0.500 0.000

=====

! AuSe3 | the Alexandria database | PBE | relaxed; values from VASP
! raw formation energy	0.31	eV per atom
&SYSTEM
  ibrav = 0, nat = 4, ntyp = 2
/
ATOMIC_SPECIES
Au 196.97 Au.upf
Se 78.96 Se.upf
CELL_PARAMETERS angstrom
3.750 0.000 0.000
-1.875 3.247 0.000
0.000 0.000 7.226
ATOMIC_POSITIONS crystal
Au 0.000 0.000 0.000
Se 0.000 0.000 0.500
Se 0.667 0.333 0.241
Se 0.667 0.333 0.759

=====

! Li2ZnIn | the Alexandria database | PBE | relaxed; values from VASP
! energy of formation from the pure elements	-200	meV per atom
&SYSTEM
  ibrav = 0, nat = 4, ntyp = 3
/
ATOMIC_SPECIES
Li 6.94 Li.upf
Zn 65.41 Zn.upf
In 114.82 In.upf
CELL_PARAMETERS angstrom
-1.920 2.169 4.256
1.920 -2.169 4.256
1.920 2.169 -4.256
ATOMIC_POSITIONS crystal
Li 0.242 0.242 0.000
Li 0.758 0.758 0.000
Zn 0.000 0.500 0.500
In 0.500 0.000 0.500

=====

! Tb4AuSe2Cl | the Alexandria database | PBE | relaxed; values from VASP
! raw formation energy	-1.42	eV per atom
&SYSTEM
  ibrav = 0, nat = 8, ntyp = 4
/
ATOMIC_SPECIES
Tb 158.93 Tb.upf
Au 196.97 Au.upf
Se 78.96 Se.upf
Cl 35.45 Cl.upf
CELL_PARAMETERS angstrom
7.169 0.000 0.000
0.000 3.979 0.000
-2.231 0.000 6.934
ATOMIC_POSITIONS crystal
Tb 0.237 0.000 0.241
Tb 0.242 0.500 0.745
Tb 0.758 0.500 0.255
Tb 0.763 0.000 0.759
Au 0.000 0.000 0.500
Se 0.000 0.500 0.000
Se 0.500 0.000 0.000
Cl 0.500 0.500 0.500

=====

! NiAsI2 | the Alexandria database | PBE | relaxed; values from VASP
! raw formation energy	0.37	eV per atom
&SYSTEM
  ibrav = 0, nat = 4, ntyp = 3
/
ATOMIC_SPECIES
Ni 58.69 Ni.upf
As 74.92 As.upf
I 126.90 I.upf
CELL_PARAMETERS angstrom
1.933 1.116 8.696
-1.933 1.116 8.696
0.000 -2.232 8.696
ATOMIC_POSITIONS crystal
Ni 0.000 0.000 0.000
As 0.500 0.500 0.500
I 0.392 0.392 0.392
I 0.608 0.608 0.608

=====

! ErTh5C4 | the Alexandria database | PBE | relaxed; values from VASP
! energy of formation from the pure elements	-275	meV per atom
&SYSTEM
  ibrav = 0, nat = 10, ntyp = 3
/
ATOMIC_SPECIES
Er 167.26 Er.upf
Th 232.04 Th.upf
C 12.01 C.upf
CELL_PARAMETERS angstrom
8.045 -1.837 0.000
8.045 1.837 0.000
-1.641 0.000 7.317
ATOMIC_POSITIONS crystal
Er 0.000 0.000 0.000
Th 0.000 0.000 0.500
Th 0.338 0.338 0.158
Th 0.342 0.342 0.692
Th 0.658 0.658 0.308
Th 0.662 0.662 0.842
C 0.166 0.166 0.080
C 0.497 0.497 0.750
C 0.503 0.503 0.250
C 0.834 0.834 0.920

=====

! PmDy7Y12 | the Alexandria database | PBE | relaxed; values from VASP
! energy of formation from the pure elements	284	meV per atom
&SYSTEM
  ibrav = 0, nat = 20, ntyp = 3
/
ATOMIC_SPECIES
Pm 145.00 Pm.upf
Dy 162.50 Dy.upf
Y 88.91 Y.upf
CELL_PARAMETERS angstrom
6.438 3.717 4.545
-6.438 3.717 4.545
0.000 -7.434 4.545
ATOMIC_POSITIONS crystal
Pm 0.000 0.000 0.000
Dy 0.020 0.083 0.353
Dy 0.083 0.353 0.020
Dy 0.353 0.020 0.083
Dy 0.500 0.500 0.500
Dy 0.647 0.980 0.917
Dy 0.917 0.647 0.980
Dy 0.980 0.917 0.647
Y 0.148 0.415 0.478
Y 0.187 0.750 0.315
Y 0.250 0.685 0.813
Y 0.315 0.187 0.750
Y 0.415 0.478 0.148
Y 0.478 0.148 0.415
Y 0.522 0.852 0.585
Y 0.585 0.522 0.852
Y 0.685 0.813 0.250
Y 0.750 0.315 0.187
Y 0.813 0.250 0.685
Y 0.852 0.585 0.522

=====

! Ce2Ni4P3Au | the Alexandria database | PBE | relaxed; values from VASP
! energy of formation from the pure elements	-828	meV per atom
&SYSTEM
  ibrav = 0, nat = 10, ntyp = 4
/
ATOMIC_SPECIES
Ce 140.12 Ce.upf
Ni 58.69 Ni.upf
P 30.97 P.upf
Au 196.97 Au.upf
CELL_PARAMETERS angstrom
3.955 0.000 0.000
0.000 3.955 0.000
0.000 0.000 9.918
ATOMIC_POSITIONS crystal
Ce 0.000 0.500 0.239
Ce 0.500 0.000 0.761
Ni 0.000 0.000 0.000
Ni 0.000 0.500 0.657
Ni 0.500 0.000 0.343
Ni 0.500 0.500 0.000
P 0.000 0.500 0.878
P 0.500 0.000 0.122
P 0.500 0.500 0.500
Au 0.000 0.000 0.500

=====

! CdCu2As | the Alexandria database | PBE | relaxed; values from VASP
! energy of formation from the pure elements	178	meV per atom
&SYSTEM
  ibrav = 0, nat = 4, ntyp = 3
/
ATOMIC_SPECIES
Cd 112.41 Cd.upf
Cu 63.55 Cu.upf
As 74.92 As.upf
CELL_PARAMETERS angstrom
2.920 -3.655 0.000
2.920 3.655 0.000
-0.013 0.000 3.018
ATOMIC_POSITIONS crystal
Cd 0.000 0.000 0.000
Cu 0.000 0.500 0.500
Cu 0.500 0.000 0.500
As 0.500 0.500 0.000

=====

! RbTaTl2Te4 | the Alexandria database | PBE | relaxed; values from VASP
! raw formation energy	-0.42	eV per atom
&SYSTEM
  ibrav = 0, nat = 8, ntyp = 4
/
ATOMIC_SPECIES
Rb 85.47 Rb.upf
Ta 180.95 Ta.upf
Tl 204.38 Tl.upf
Te 127.60 Te.upf
CELL_PARAMETERS angstrom
-4.069 4.492 4.680
4.069 -4.492 4.680
4.069 4.492 -4.680
ATOMIC_POSITIONS crystal
Rb 0.000 0.000 0.000
Ta 0.500 0.500 0.000
Tl 0.191 0.691 0.500
Tl 0.809 0.309 0.500
Te 0.175 0.541 0.021
Te 0.481 0.459 0.634
Te 0.519 0.154 0.979
Te 0.825 0.846 0.366

=====

! Zn2GeI | the Alexandria database | PBE | relaxed; values from VASP
! raw formation energy	0.06	eV per atom
&SYSTEM
  ibrav = 0, nat = 8, ntyp = 3
/
ATOMIC_SPECIES
Zn 65.41 Zn.upf
Ge 72.64 Ge.upf
I 126.90 I.upf
CELL_PARAMETERS angstrom
-3.114 3.114 5.985
3.114 -3.114 5.985
3.114 3.114 -5.985
ATOMIC_POSITIONS crystal
Zn 0.063 0.625 0.938
Zn 0.375 0.313 0.438
Zn 0.687 0.125 0.062
Zn 0.875 0.937 0.562
Ge 0.000 0.000 0.000
Ge 0.750 0.250 0.500
I 0.250 0.750 0.500
I 0.500 0.500 0.000

=====

! ZrTi2BeN | the Alexandria database | PBE | relaxed; values from VASP
! raw formation energy	-0.71	eV per atom
&SYSTEM
  ibrav = 0, nat = 5, ntyp = 4
/
ATOMIC_SPECIES
Zr 91.22 Zr.upf
Ti 47.87 Ti.upf
Be 9.01 Be.upf
N 14.01 N.upf
CELL_PARAMETERS angstrom
4.059 0.000 0.000
0.000 4.059 0.000
0.000 0.000 4.439
ATOMIC_POSITIONS crystal
Zr 0.000 0.000 0.000
Ti 0.000 0.500 0.500
Ti 0.500 0.000 0.500
Be 0.500 0.500 0.000
N 0.000 0.000 0.500

=====

! NbAgTe2 | the Alexandria database | PBE | relaxed; values from VASP
! raw formation energy	0.59	eV per atom
&SYSTEM
  ibrav = 0, nat = 4, ntyp = 3
/
ATOMIC_SPECIES
Nb 92.91 Nb.upf
Ag 107.87 Ag.upf
Te 127.60 Te.upf
CELL_PARAMETERS angstrom
1.696 0.979 9.910
-1.696 0.979 9.910
0.000 -1.958 9.910
ATOMIC_POSITIONS crystal
Nb 0.000 0.000 0.000
Ag 0.500 0.500 0.500
Te 0.092 0.092 0.092
Te 0.908 0.908 0.908

=====

! Zn3InAs | the Alexandria database | PBE | relaxed; values from VASP
! energy of formation from the pure elements	749	meV per atom
&SYSTEM
  ibrav = 0, nat = 5, ntyp = 3
/
ATOMIC_SPECIES
Zn 65.41 Zn.upf
In 114.82 In.upf
As 74.92 As.upf
CELL_PARAMETERS angstrom
5.060 0.000 0.000
0.000 5.060 0.000
0.000 0.000 5.060
ATOMIC_POSITIONS crystal
Zn 0.000 0.000 0.500
Zn 0.000 0.500 0.000
Zn 0.500 0.000 0.000
In 0.000 0.000 0.000
As 0.500 0.500 0.500